The following is a PBE calculation of SrLaPb2I after structural relaxation, from Alexandria via LeMat-Bulk.

a = 6.1339 Å, b = 6.1569 Å, c = 6.1339 Å
α = 90.00°, β = 90.00°, γ = 90.00°
With the nearest neighbours (Å) after each atom.
Atoms (fractional coordinates):
Pb (0.0000, 0.0000, 0.5000)  2 La 3.07
Pb (0.5000, 0.0000, 0.0000)  2 La 3.07
La (0.0000, 0.0000, 0.0000)  4 Pb 3.07, 2 I 3.08
Sr (0.5000, 0.5000, 0.5000)  4 I 4.34, 8 Pb 4.35
I (0.0000, 0.5000, 0.0000)  2 La 3.08

Computed properties:
total moment	0.0	μB/cell
E_form (uncorrected)	-0.200	eV/atom
DOS(E_F)	5.9	states/eV per cell

=====

The following is a PBE calculation of PrNp2Se4 after structural relaxation, from Alexandria via LeMat-Bulk.

a = 4.0790 Å, b = 7.0888 Å, c = 13.8978 Å
α = 90.00°, β = 90.00°, γ = 106.72°
With the nearest neighbours (Å) after each atom.
Atoms (fractional coordinates):
Se (0.5000, 0.0000, 0.0000)  4 Np 2.87
Np (0.1336, 0.2672, 0.0649)  6 Se 2.86-2.91
Se (0.9580, 0.9160, 0.7500)  2 Np 2.86, 2 Pr 2.98
Se (0.2269, 0.4537, 0.6235)  3 Np 2.90-2.91, 2 Pr 3.07
Se (0.7731, 0.5463, 0.1235)  3 Np 2.90-2.91, 2 Pr 3.07
Np (0.8664, 0.7328, 0.5649)  6 Se 2.86-2.91
Se (0.5000, 0.0000, 0.5000)  4 Np 2.87
Pr (0.3818, 0.7635, 0.2500)  6 Se 2.98-3.07
Np (0.1336, 0.2672, 0.4351)  6 Se 2.86-2.91
Se (0.7731, 0.5463, 0.3765)  3 Np 2.90-2.91, 2 Pr 3.07
Np (0.8664, 0.7328, 0.9351)  6 Se 2.86-2.91
Se (0.2269, 0.4537, 0.8765)  3 Np 2.90-2.91, 2 Pr 3.07
Se (0.0420, 0.0840, 0.2500)  2 Np 2.86, 2 Pr 2.98
Pr (0.6182, 0.2364, 0.7500)  6 Se 2.98-3.07

Computed properties:
total moment	17.5	μB/cell
E_form (uncorrected)	-1.360	eV/atom
polymorph energy (0 for the lowest one)	0	meV per atom
DOS(E_F)	41.3	states/eV per cell

=====

The following is a PBE calculation of Pr3HgTe2 after structural relaxation, from Alexandria via LeMat-Bulk.

a = 6.4050 Å, b = 9.0839 Å, c = 13.4783 Å
α = 90.00°, β = 90.00°, γ = 89.81°
With the nearest neighbours (Å) after each atom.
Atoms (fractional coordinates):
Pr (0.2525, 0.1226, 0.9190)  3 Hg 3.19-3.21, 3 Te 3.20-3.23
Pr (0.2478, 0.1263, 0.2498)  2 Hg 3.16-3.18, 4 Te 3.19-3.20
Te (0.2498, 0.8767, 0.4166)  6 Pr 3.19-3.21
Pr (0.2501, 0.1271, 0.5844)  5 Te 3.18-3.21, 1 Hg 3.22
Hg (0.7528, 0.6254, 0.5864)  6 Pr 3.16-3.22
Pr (0.7522, 0.3737, 0.7498)  2 Hg 3.16-3.18, 4 Te 3.19-3.20
Te (0.7480, 0.1255, 0.2523)  6 Pr 3.18-3.23
Pr (0.2478, 0.6263, 0.2502)  2 Hg 3.16-3.18, 4 Te 3.19-3.20
Pr (0.7475, 0.3774, 0.4190)  3 Hg 3.19-3.21, 3 Te 3.20-3.23
Pr (0.7499, 0.8729, 0.4156)  5 Te 3.18-3.21, 1 Hg 3.22
Pr (0.7522, 0.8737, 0.7502)  2 Hg 3.16-3.18, 4 Te 3.19-3.20
Te (0.7502, 0.6233, 0.9166)  6 Pr 3.19-3.21
Pr (0.2501, 0.6271, 0.9156)  5 Te 3.18-3.21, 1 Hg 3.22
Te (0.2498, 0.3767, 0.0834)  6 Pr 3.19-3.21
Pr (0.2525, 0.6226, 0.5810)  3 Hg 3.19-3.21, 3 Te 3.20-3.23
Te (0.2520, 0.8745, 0.7477)  6 Pr 3.18-3.23
Te (0.2520, 0.3745, 0.7523)  6 Pr 3.18-3.23
Pr (0.7499, 0.3729, 0.0844)  5 Te 3.18-3.21, 1 Hg 3.22
Hg (0.2472, 0.8746, 0.0864)  6 Pr 3.16-3.22
Hg (0.7528, 0.1254, 0.9136)  6 Pr 3.16-3.22
Hg (0.2472, 0.3746, 0.4136)  6 Pr 3.16-3.22
Pr (0.7475, 0.8774, 0.0810)  3 Hg 3.19-3.21, 3 Te 3.20-3.23
Te (0.7502, 0.1233, 0.5834)  6 Pr 3.19-3.21
Te (0.7480, 0.6255, 0.2477)  6 Pr 3.18-3.23

Computed properties:
total moment	0.0	μB/cell
E_form (uncorrected)	-1.117	eV/atom
polymorph energy (0 for the lowest one)	13	meV per atom
DOS(E_F)	20.8	states/eV per cell

=====

The following is a PBE calculation of LiAgAs3 after structural relaxation, from Alexandria via LeMat-Bulk.

a = 4.6153 Å, b = 4.6153 Å, c = 4.6153 Å
α = 90.00°, β = 90.00°, γ = 90.00°
With the nearest neighbours (Å) after each atom.
Atoms (fractional coordinates):
As (0.5000, 0.0000, 0.0000)  2 Li 2.31
As (0.0000, 0.5000, 0.0000)  2 Li 2.31
As (0.0000, 0.0000, 0.5000)  2 Li 2.31
Ag (0.5000, 0.5000, 0.5000)  12 As 3.26
Li (0.0000, 0.0000, 0.0000)  6 As 2.31

Computed properties:
DFT formation energy	0.513	eV/atom
total moment	0.0	μB/cell
polymorph energy (0 for the lowest one)	0	meV per atom
DOS(E_F)	3.1	states/eV per cell

=====

The following is a PBE calculation of Hg3Ru4 after structural relaxation, from Alexandria via LeMat-Bulk.

a = 5.4477 Å, b = 5.4477 Å, c = 4.8397 Å
α = 90.00°, β = 90.00°, γ = 120.00°
With the nearest neighbours (Å) after each atom.
Atoms (fractional coordinates):
Hg (0.5000, 0.0000, 0.0000)  4 Hg 2.72, 8 Ru 2.89-3.00
Ru (0.0000, 0.0000, 0.7415)  2 Ru 2.34-2.50
Ru (0.0000, 0.0000, 0.2585)  2 Ru 2.34-2.50
Ru (0.3333, 0.6667, 0.5000)  6 Hg 2.89, 3 Ru 3.15
Ru (0.6667, 0.3333, 0.5000)  6 Hg 2.89, 3 Ru 3.15
Hg (0.0000, 0.5000, 0.0000)  4 Hg 2.72, 8 Ru 2.89-3.00
Hg (0.5000, 0.5000, 0.0000)  4 Hg 2.72, 8 Ru 2.89-3.00

Computed properties:
DFT formation energy	0.998	eV/atom
total moment	2.4	μB/cell
polymorph energy (0 for the lowest one)	695	meV per atom
DOS(E_F)	6.7	states/eV per cell

=====

The following is a PBE calculation of KIrOs2 after structural relaxation, from Alexandria via LeMat-Bulk.

a = 4.6508 Å, b = 4.6508 Å, c = 4.6508 Å
α = 124.24°, β = 124.24°, γ = 82.80°
With the nearest neighbours (Å) after each atom.
Atoms (fractional coordinates):
K (0.7500, 0.2500, 0.5000)  8 Os 2.79-3.08, 4 Ir 2.79
Os (0.2500, 0.7500, 0.5000)  4 Os 2.79, 4 Ir 2.79, 4 K 3.08
Ir (0.5000, 0.5000, 0.0000)  4 K 2.79, 8 Os 2.79-3.08
Os (0.0000, 0.0000, 0.0000)  4 K 2.79, 4 Os 2.79, 4 Ir 3.08

Computed properties:
DFT formation energy	1.566	eV/atom
total moment	0.0	μB/cell
polymorph energy (0 for the lowest one)	880	meV per atom
DOS(E_F)	6.2	states/eV per cell

=====

The following is a PBE calculation of TaVFeIr2 after structural relaxation, from Alexandria via LeMat-Bulk.

a = 4.7497 Å, b = 4.4407 Å, c = 4.7497 Å
α = 90.00°, β = 90.00°, γ = 90.00°
With the nearest neighbours (Å) after each atom.
Atoms (fractional coordinates):
V (0.5000, 0.5000, 0.5000)  8 Ir 3.25, 4 Fe 3.36
Ir (0.0000, 0.0000, 0.5000)  2 Ta 2.37
Ir (0.5000, 0.0000, 0.0000)  2 Ta 2.37
Fe (0.0000, 0.5000, 0.0000)  2 Ta 2.22
Ta (0.0000, 0.0000, 0.0000)  2 Fe 2.22, 4 Ir 2.37

Computed properties:
DFT formation energy	1.582	eV/atom
total moment	1.9	μB/cell
DOS(E_F)	10.0	states/eV per cell

=====

The following is a PBE calculation of Pa3Bi7 after structural relaxation, from Alexandria via LeMat-Bulk.

a = 6.3187 Å, b = 10.6257 Å, c = 10.6257 Å
α = 120.00°, β = 90.00°, γ = 90.00°
With the nearest neighbours (Å) after each atom.
Atoms (fractional coordinates):
Bi (0.1802, 0.4778, 0.9556)  4 Pa 3.25-3.36, 4 Bi 3.26-3.59
Bi (0.8919, 0.2372, 0.1186)  3 Pa 3.11-3.36
Bi (0.3919, 0.1186, 0.8814)  3 Pa 3.11-3.36
Bi (0.6802, 0.9556, 0.4778)  4 Pa 3.25-3.36, 4 Bi 3.26-3.59
Pa (0.3768, 0.8069, 0.1931)  8 Bi 3.11-3.36
Bi (0.8919, 0.8814, 0.7628)  3 Pa 3.11-3.36
Bi (0.6802, 0.5222, 0.4778)  4 Pa 3.25-3.36, 4 Bi 3.26-3.59
Bi (0.3919, 0.1186, 0.2372)  3 Pa 3.11-3.36
Bi (0.6802, 0.5222, 0.0444)  4 Pa 3.25-3.36, 4 Bi 3.26-3.59
Pa (0.8768, 0.1931, 0.8069)  8 Bi 3.11-3.36
Pa (0.3768, 0.3862, 0.1931)  8 Bi 3.11-3.36
Bi (0.8919, 0.8814, 0.1186)  3 Pa 3.11-3.36
Pa (0.8768, 0.1931, 0.3862)  8 Bi 3.11-3.36
Pa (0.8768, 0.6138, 0.8069)  8 Bi 3.11-3.36
Bi (0.5615, 0.3333, 0.6667)  3 Pa 3.26, 6 Bi 3.56-3.59
Bi (0.0615, 0.6667, 0.3333)  3 Pa 3.26, 6 Bi 3.56-3.59
Bi (0.1802, 0.4778, 0.5222)  4 Pa 3.25-3.36, 4 Bi 3.26-3.59
Pa (0.3768, 0.8069, 0.6138)  8 Bi 3.11-3.36
Bi (0.3919, 0.7628, 0.8814)  3 Pa 3.11-3.36
Bi (0.1802, 0.0444, 0.5222)  4 Pa 3.25-3.36, 4 Bi 3.26-3.59

Computed properties:
DFT formation energy	-0.078	eV/atom
total moment	0.1	μB/cell
DOS(E_F)	33.0	states/eV per cell

=====

What is the total moment in the third record?
0.0 μB/cell